A relaxed Al2V8Ge crystal. Source: the Alexandria database, functional GGA-PBE.

Unit cell a=4.652 b=6.365 c=6.365 alpha=80.71 beta=76.70 gamma=76.70
Sites, in units of the cell vectors:
V: 0.712 0.571 0.571
V: 0.848 0.643 0.172
Al: 0.466 0.147 0.147
V: 0.848 0.172 0.643
Ge: 0.000 0.000 0.000
V: 0.288 0.429 0.429
V: 0.113 0.721 0.721
V: 0.887 0.279 0.279
V: 0.152 0.828 0.357
Al: 0.534 0.853 0.853
V: 0.152 0.357 0.828

Output
As for the symmetry: C2/m.

***

A relaxed La2Co2Cu crystal. Source: the Alexandria database, functional GGA-PBE.

Unit cell a=3.451 b=3.451 c=9.146 alpha=79.13 beta=79.13 gamma=90.00
Each line ends with the local moment (μB).
Sites, in units of the cell vectors:
Co: 0.750 0.250 0.500  1.46
Co: 0.250 0.750 0.500  1.46
La: 0.388 0.388 0.225  0.01
La: 0.612 0.612 0.775  0.01
Cu: 0.000 0.000 0.000  0.01

Output
As for the symmetry: I4/mmm. The calculation puts the offset from the most stable computed form at 208 meV/atom.

***

Number 1: ΔH_f (0 K) 0.406 eV/atom. Number 2: ΔH_f (0 K) 0.115 eV/atom.